# 1
The following is a DFT calculation (PBE) of KCu3Si after structural relaxation.

For the total energy, the calculation gives -3.418 eV per atom.

Cell: 4.473 4.641 4.641 Å, 87.96 90.00 90.00°
Positions (direct):
K1 0.000 0.000 0.000
Cu1 0.000 0.480 0.480
Cu2 0.500 0.116 0.508
Cu3 0.500 0.508 0.116
Si1 0.500 0.612 0.612


# 2
The following is a DFT calculation (PBE) of NaHgAs after structural relaxation.

For the total energy, the calculation gives -2.351 eV per atom.

Cell: 8.341 8.278 7.342 Å, 64.22 63.34 52.44°
Positions (direct):
Na1 0.013 0.013 0.737
Na2 0.263 0.263 0.987
Na3 0.737 0.737 0.013
Na4 0.987 0.987 0.263
Hg1 0.000 0.500 0.500
Hg2 0.500 0.000 0.500
Hg3 0.500 0.500 0.000
Hg4 0.500 0.500 0.500
As1 0.108 0.642 0.108
As2 0.358 0.892 0.358
As3 0.642 0.108 0.642
As4 0.892 0.358 0.892


# 3
The following is a DFT calculation (PBE) of ZnCdB4 after structural relaxation.

The energy above the lowest structure with this stoichiometry is 0.24 eV/f.u.

Cell: 4.819 4.819 4.819 Å, 142.50 112.31 80.04°
Positions (direct):
Zn1 0.000 0.000 0.000
Cd1 0.500 0.500 0.000
B1 0.078 0.745 0.333
B2 0.412 0.745 0.667
B3 0.588 0.255 0.333
B4 0.922 0.255 0.667


# 4
The following is a DFT calculation (PBE) of Pt15Pb after structural relaxation.

The energy above the lowest structure with this stoichiometry is 0.28 eV/f.u.

Cell: 5.556 3.960 35.764 Å, 90.00 90.01 90.00°
Positions (direct):
Pt1 0.122 0.250 0.178
Pt2 0.122 0.250 0.259
Pt3 0.124 0.250 0.099
Pt4 0.125 0.250 0.020
Pt5 0.125 0.250 0.780
Pt6 0.125 0.250 0.861
Pt7 0.125 0.250 0.941
Pt8 0.372 0.750 0.822
Pt9 0.373 0.750 0.741
Pt10 0.374 0.750 0.902
Pt11 0.375 0.750 0.059
Pt12 0.375 0.750 0.138
Pt13 0.375 0.750 0.215
Pt14 0.375 0.750 0.292
Pt15 0.375 0.750 0.980
Pt16 0.625 0.250 0.020
Pt17 0.625 0.250 0.708
Pt18 0.625 0.250 0.785
Pt19 0.625 0.250 0.862
Pt20 0.625 0.250 0.941
Pt21 0.626 0.250 0.098
Pt22 0.627 0.250 0.259
Pt23 0.628 0.250 0.178
Pt24 0.875 0.750 0.059
Pt25 0.875 0.750 0.139
Pt26 0.875 0.750 0.220
Pt27 0.875 0.750 0.980
Pt28 0.876 0.750 0.901
Pt29 0.878 0.750 0.741
Pt30 0.878 0.750 0.822
Pb1 0.125 0.250 0.690
Pb2 0.875 0.750 0.310


# 5
The following is a DFT calculation (PBE) of KNdHo after structural relaxation.

The energy above the lowest structure with this stoichiometry is 0.00 eV/f.u.

Cell: 5.911 5.911 5.911 Å, 60.00 60.00 60.00°
Positions (direct):
K1 0.000 0.000 0.000
Nd1 0.500 0.500 0.500
Ho1 0.250 0.250 0.250


# 6
The following is a DFT calculation (PBE) of LuZr2Sb after structural relaxation.

For the total energy, the calculation gives -6.611 eV per atom.

Cell: 5.080 5.080 5.080 Å, 60.00 60.00 60.00°
Positions (direct):
Lu1 0.000 0.000 0.000
Zr1 0.250 0.250 0.250
Zr2 0.500 0.500 0.500
Sb1 0.750 0.750 0.750